Record 1
The following is a PBE-GGA calculation of a relaxed structure of RbSiB, from Alexandria.

Summary:
DOS at the Fermi energy: 2.3 states/eV/cell
SG: P-1
Formation energy (no corrections): 0.25 eV per atom
V: 173.66 Å³ per cell

Unit cell a=10.2747 b=3.6213 c=4.8508 alpha=75.28 beta=93.21 gamma=86.12
With the nearest neighbours (Å) after each atom.
Fractional coordinates of all 6 atoms:
Rb: 0.7722 0.8231 0.2119  2 B 3.15-3.50, 1 Si 3.50
B: 0.4373 0.9113 0.4118  1 B 1.75
Si: 0.5364 0.5357 0.7649  3 B 2.01-2.06
Si: 0.4636 0.4643 0.2351  3 B 2.01-2.06
Rb: 0.2278 0.1769 0.7881  2 B 3.15-3.50, 1 Si 3.50
B: 0.5627 0.0887 0.5882  1 B 1.75



Record 2
The following is a PBE-GGA calculation of a relaxed structure of Tl3CdIn2Hg3, from Alexandria.

Summary:
Calculated formation energy: 0.30 eV/f.u.
DOS at the Fermi energy: 2.7 states/eV/cell
SG: P-62m
V: 251.46 Å³ per cell

Unit cell a=3.5430 b=9.0528 c=9.0528 alpha=120.00 beta=90.00 gamma=90.00
With the nearest neighbours (Å) after each atom.
Fractional coordinates of all 9 atoms:
In: 0.5000 0.6667 0.3333  3 Tl 3.24, 6 Hg 3.36, 2 In 3.54
Cd: 0.0000 0.0000 0.0000  6 Tl 3.16, 3 Hg 3.38
Tl: 0.5000 0.7109 0.0000  2 Cd 3.16, 2 In 3.24, 2 Hg 3.53
Hg: 0.0000 0.6263 0.6263  4 In 3.36, 1 Cd 3.38, 6 Tl 3.53-3.55, 2 Hg 3.54
Tl: 0.5000 0.2891 0.2891  2 Cd 3.16, 2 In 3.24, 2 Hg 3.53
In: 0.5000 0.3333 0.6667  3 Tl 3.24, 6 Hg 3.36, 2 In 3.54
Hg: 0.0000 0.3737 0.0000  4 In 3.36, 1 Cd 3.38, 6 Tl 3.53-3.55, 2 Hg 3.54
Tl: 0.5000 0.0000 0.7109  2 Cd 3.16, 2 In 3.24, 2 Hg 3.53
Hg: 0.0000 0.0000 0.3737  4 In 3.36, 1 Cd 3.38, 6 Tl 3.53-3.55, 2 Hg 3.54



Record 3
The following is a PBE-GGA calculation of a relaxed structure of YAlP2O, from Alexandria.

Summary:
DOS at the Fermi energy: 3.8 states/eV/cell
SG: P4/mmm
Formation energy (no corrections): -0.92 eV per atom
Energy above the most stable polymorph in this dataset: 0 meV/atom
V: 87.62 Å³ per cell

Unit cell a=5.0478 b=5.0478 c=3.4389 alpha=90.00 beta=90.00 gamma=90.00
With the nearest neighbours (Å) after each atom.
Fractional coordinates of all 5 atoms:
P: 0.5000 0.0000 0.0000  2 Al 2.52
Y: 0.5000 0.5000 0.5000  8 P 3.05
O: 0.0000 0.0000 0.5000  2 Al 1.72
Al: 0.0000 0.0000 0.0000  2 O 1.72
P: 0.0000 0.5000 0.0000  2 Al 2.52



Record 4
The following is a PBE-GGA calculation of a relaxed structure of MnTlHg2, from Alexandria.

Summary:
Calculated formation energy: 1.15 eV/f.u.
DOS at the Fermi energy: 2.1 states/eV/cell
SG: P4mm
V: 92.56 Å³ per cell

Unit cell a=3.3370 b=3.3360 c=8.3151 alpha=90.00 beta=90.00 gamma=90.00
With the nearest neighbours (Å) after each atom.
Fractional coordinates of all 4 atoms:
Mn: 0.0000 0.0000 0.4831  4 Hg 2.88, 4 Tl 3.07
Tl: 0.5000 0.5000 0.7186  4 Mn 3.07, 4 Tl 3.34, 4 Hg 3.40
Hg: 0.5000 0.5000 0.2845  4 Mn 2.88
Hg: 0.0000 0.0000 0.0138  8 Hg 3.26-3.34, 4 Tl 3.40



Record 5
The following is a PBE-GGA calculation of a relaxed structure of K3CdAu3, from Alexandria.

Summary:
Calculated formation energy: -1.49 eV/f.u.
DOS at the Fermi energy: 4.6 states/eV/cell
SG: C2/m
Energy above the most stable polymorph in this dataset: 83 meV/atom
V: 474.58 Å³ per cell

Unit cell a=7.8727 b=7.8727 c=7.8862 alpha=91.64 beta=91.64 gamma=103.60
With the nearest neighbours (Å) after each atom.
Fractional coordinates of all 14 atoms:
Cd: 0.7610 0.7610 0.8428  4 Au 2.81-3.03
K: 0.8623 0.1377 0.5000  6 Au 3.13-3.29, 1 K 3.41
Au: 0.9279 0.9279 0.1508  1 Au 2.82, 2 Cd 2.86-3.03
Au: 0.0721 0.0721 0.8492  1 Au 2.82, 2 Cd 2.86-3.03
K: 0.2471 0.7529 0.0000  4 Au 3.37-3.65
K: 0.7529 0.2471 0.0000  4 Au 3.37-3.65
Cd: 0.2390 0.2390 0.1572  4 Au 2.81-3.03
Au: 0.8982 0.5263 0.6449  1 Cd 2.81, 1 Au 2.90, 1 K 3.13
Au: 0.1018 0.4737 0.3551  1 Cd 2.81, 1 Au 2.90, 1 K 3.13
K: 0.1377 0.8623 0.5000  6 Au 3.13-3.29, 1 K 3.41
K: 0.3776 0.3776 0.6726  3 Au 3.34-3.48, 1 K 3.70
Au: 0.4737 0.1018 0.3551  1 Cd 2.81, 1 Au 2.90, 1 K 3.13
Au: 0.5263 0.8982 0.6449  1 Cd 2.81, 1 Au 2.90, 1 K 3.13
K: 0.6224 0.6224 0.3274  3 Au 3.34-3.48, 1 K 3.70



Record 6
The following is a PBE-GGA calculation of a relaxed structure of LaAlNi2, from Alexandria.

Summary:
Calculated formation energy: -0.78 eV/f.u.
DOS at the Fermi energy: 3.4 states/eV/cell
SG: Pmm2
V: 68.70 Å³ per cell

Unit cell a=3.0446 b=3.2907 c=6.8574 alpha=90.00 beta=90.00 gamma=90.00
With the nearest neighbours (Å) after each atom.
Fractional coordinates of all 4 atoms:
Ni: 0.0000 0.0000 0.0577  1 Al 2.44, 4 Ni 2.59
La: 0.5000 0.5000 0.7824  5 Ni 2.93-3.18, 2 La 3.04
Al: 0.0000 0.0000 0.4135  5 Ni 2.44-2.52
Ni: 0.5000 0.5000 0.2464  4 Al 2.52, 4 Ni 2.59



> Which of these has the highest V?

K3CdAu3



> Number 3 is which compound?

YAlP2O



> The lowest DOS at the Fermi energy belongs to which entry?

MnTlHg2



> The lowest DOS at the Fermi energy belongs to which entry?

MnTlHg2